[1]
Material: LaAl3H
Method: DFT, meta-GGA SCAN
State: PBEsol geometry

Calculated values
- Total energy: -12.23 eV per atom

The structure in CIF format:
```
data_LaAl3H
_cell_length_a 5.800
_cell_length_b 5.800
_cell_length_c 5.800
_cell_angle_alpha 90.00
_cell_angle_beta 90.00
_cell_angle_gamma 90.00
_space_group_name_H-M_alt 'P m -3 m'
_space_group_IT_number 221
_space_group_name_Hall '-P 4 2 3'
loop_
_atom_site_label
_atom_site_fract_x
_atom_site_fract_y
_atom_site_fract_z
La1 0.000 0.000 0.000
Al1 0.000 0.000 0.500
H1 0.500 0.500 0.500
```

***

[2]
Material: TeAuSe
Method: DFT, meta-GGA SCAN
State: PBEsol geometry

Calculated values
- Total energy: -42.26 eV per atom

The structure in CIF format:
```
data_TeAuSe
_cell_length_a 4.0248
_cell_length_b 4.0248
_cell_length_c 4.8420
_cell_angle_alpha 90.00
_cell_angle_beta 90.00
_cell_angle_gamma 120.00
_space_group_name_H-M_alt 'P 3 m 1'
_space_group_IT_number 156
_space_group_name_Hall 'P 3 -2"'
loop_
_atom_site_label
_atom_site_fract_x
_atom_site_fract_y
_atom_site_fract_z
Te1 0.0000 0.0000 0.0000
Au1 0.3333 0.6667 0.6913
Se1 0.6667 0.3333 0.4124
```

***

> Which of these has the highest total energy?

LaAl3H

***

> What is the total energy in the second record?

-42.26 eV per atom

***

> Which value of total energy does entry 1 give?

-12.23 eV per atom